YAg3Pb: optimized geometry, PBE-GGA.

```
YAg3Pb
1.0
3.4795 0.0000 0.0000
0.0000 4.7045 0.0000
0.0000 -2.3522 14.3503
Ag Pb Y
6 2 2
direct
0.0000 0.2731 0.5461
0.0000 0.0501 0.1002
0.5000 0.4539 0.9078
0.0000 0.9499 0.8998
0.5000 0.5461 0.0922
0.0000 0.7269 0.4539
0.0000 0.6260 0.2520
0.0000 0.3740 0.7480
0.5000 0.1770 0.3541
0.5000 0.8230 0.6459
```

Calculated values
**Crystal system**: orthorhombic
**Energy above the most stable polymorph in this dataset**: 0.0000 eV/atom
**DFT formation energy**: -0.036 eV/atom